Entry from the Alexandria database: KTcBr4 after structural relaxation (GGA-PBE).

uncorrected formation energy: -16.0 kcal/mol of atoms
magnetic moment: 8.000 Bohr magnetons per cell
SG: C2/c (15)
VASP energy: -3.720 eV/atom
ΔE to the lowest computed polymorph: 0 meV per atom
calculated density: 3.61 g cm⁻³

Lattice parameters (Å, degrees): 8.601 8.601 7.321 106.36 106.36 114.64
Element x y z (fractional)
1 K 0.118 0.882 0.750
2 K 0.882 0.118 0.250
3 Tc 0.418 0.582 0.250
4 Tc 0.582 0.418 0.750
5 Br 0.134 0.548 0.306
6 Br 0.260 0.341 0.756
7 Br 0.341 0.260 0.256
8 Br 0.452 0.866 0.194
9 Br 0.548 0.134 0.806
10 Br 0.659 0.740 0.744
11 Br 0.740 0.659 0.244
12 Br 0.866 0.452 0.694

---

Entry from the Alexandria database: Ho4Ag5Pb after structural relaxation (GGA-PBE).

magnetic moment: 0.000 Bohr magnetons per cell
SG: P4/mmm (123)
VASP energy: -3.901 eV/atom
formation enthalpy at 0 K: -0.27 eV/atom
calculated density: 9.86 g cm⁻³

Lattice parameters (Å, degrees): 3.665 3.665 17.638 90.00 90.00 90.00
Element x y z (fractional)
1 Ho 0.000 0.000 0.102
2 Ho 0.000 0.000 0.304
3 Ho 0.000 0.000 0.696
4 Ho 0.000 0.000 0.898
5 Ag 0.500 0.500 0.000
6 Ag 0.500 0.500 0.205
7 Ag 0.500 0.500 0.396
8 Ag 0.500 0.500 0.604
9 Ag 0.500 0.500 0.795
10 Pb 0.000 0.000 0.500

---

Entry from the Alexandria database: CrP2Au after structural relaxation (GGA-PBE).

magnetic moment: 2.789 Bohr magnetons per cell
SG: I-4m2 (119)
VASP energy: -5.612 eV/atom
ΔE to the lowest computed polymorph: 305 meV per atom
formation enthalpy at 0 K: 0.32 eV/atom
calculated density: 8.40 g cm⁻³

Lattice parameters (Å, degrees): 5.285 5.285 5.285 139.58 139.58 58.49
Element x y z (fractional)
1 Cr 0.000 0.000 0.000
2 P 0.250 0.750 0.500
3 P 0.500 0.500 0.000
4 Au 0.750 0.250 0.500

---

Entry from the Alexandria database: Ac3Cu2Ir4 after structural relaxation (GGA-PBE).

magnetic moment: 0.000 Bohr magnetons per cell
SG: P-6m2 (187)
VASP energy: -6.659 eV/atom
formation enthalpy at 0 K: -0.44 eV/atom
calculated density: 12.34 g cm⁻³

Lattice parameters (Å, degrees): 4.383 4.383 25.507 90.00 90.00 120.00
Element x y z (fractional)
1 Ac 0.000 0.000 0.084
2 Ac 0.000 0.000 0.249
3 Ac 0.000 0.000 0.413
4 Ac 0.000 0.000 0.587
5 Ac 0.000 0.000 0.751
6 Ac 0.000 0.000 0.916
7 Cu 0.333 0.667 0.500
8 Cu 0.667 0.333 0.167
9 Cu 0.667 0.333 0.500
10 Cu 0.667 0.333 0.833
11 Ir 0.333 0.667 0.000
12 Ir 0.333 0.667 0.167
13 Ir 0.333 0.667 0.335
14 Ir 0.333 0.667 0.665
15 Ir 0.333 0.667 0.833
16 Ir 0.667 0.333 0.000
17 Ir 0.667 0.333 0.334
18 Ir 0.667 0.333 0.666

---

Entry from the Alexandria database: Er2LuTi after structural relaxation (GGA-PBE).

magnetic moment: 1.523 Bohr magnetons per cell
SG: P4/mmm (123)
VASP energy: -5.207 eV/atom
ΔE to the lowest computed polymorph: 0 meV per atom
formation enthalpy at 0 K: 0.18 eV/atom
calculated density: 8.50 g cm⁻³

Lattice parameters (Å, degrees): 3.598 3.598 8.409 90.00 90.00 90.00
Element x y z (fractional)
1 Er 0.000 0.000 0.211
2 Er 0.000 0.000 0.789
3 Lu 0.500 0.500 0.500
4 Ti 0.500 0.500 0.000

---

Entry from the Alexandria database: Ca2TbZn3 after structural relaxation (GGA-PBE).

magnetic moment: 0.000 Bohr magnetons per cell
SG: P-3m1 (164)
VASP energy: -2.352 eV/atom
ΔE to the lowest computed polymorph: 0 meV per atom
formation enthalpy at 0 K: -0.28 eV/atom
calculated density: 5.00 g cm⁻³

Lattice parameters (Å, degrees): 5.138 5.138 6.318 90.00 90.00 120.00
Element x y z (fractional)
1 Ca 0.333 0.667 0.162
2 Ca 0.667 0.333 0.838
3 Tb 0.000 0.000 0.500
4 Zn 0.000 0.000 0.000
5 Zn 0.333 0.667 0.654
6 Zn 0.667 0.333 0.346

---

Entry from the Alexandria database: CaSn2Cl6 after structural relaxation (GGA-PBE).

uncorrected formation energy: -32.3 kcal/mol of atoms
magnetic moment: 0.000 Bohr magnetons per cell
SG: C2/m (12)
VASP energy: -3.743 eV/atom
ΔE to the lowest computed polymorph: 64 meV per atom
calculated density: 2.78 g cm⁻³

Lattice parameters (Å, degrees): 7.158 7.158 9.343 117.98 117.98 45.18
Element x y z (fractional)
1 Ca 0.000 0.000 0.000
2 Sn 0.207 0.207 0.671
3 Sn 0.793 0.793 0.329
4 Cl 0.033 0.033 0.726
5 Cl 0.234 0.234 0.283
6 Cl 0.369 0.369 0.976
7 Cl 0.631 0.631 0.024
8 Cl 0.766 0.766 0.717
9 Cl 0.967 0.967 0.274

---

Entry from the Alexandria database: CePm2Se3 after structural relaxation (GGA-PBE).

uncorrected formation energy: -42.3 kcal/mol of atoms
magnetic moment: 1.075 Bohr magnetons per cell
SG: Immm (71)
VASP energy: -6.151 eV/atom
calculated density: 7.05 g cm⁻³

Lattice parameters (Å, degrees): 7.285 7.285 7.285 146.60 131.90 59.82
Element x y z (fractional)
1 Ce 0.000 0.000 0.000
2 Pm 0.332 0.332 0.000
3 Pm 0.668 0.668 0.000
4 Se 0.166 0.666 0.500
5 Se 0.500 0.000 0.500
6 Se 0.834 0.334 0.500

---

Entry from the Alexandria database: La3Tm4Sc2 after structural relaxation (GGA-PBE).

magnetic moment: 0.000 Bohr magnetons per cell
SG: P-1 (2)
VASP energy: -4.893 eV/atom
formation enthalpy at 0 K: 0.14 eV/atom
calculated density: 6.92 g cm⁻³

Lattice parameters (Å, degrees): 6.306 9.709 9.713 82.24 78.37 78.35
Element x y z (fractional)
1 La 0.000 0.041 0.168
2 La 0.000 0.959 0.832
3 La 0.250 0.465 0.535
4 La 0.499 0.168 0.041
5 La 0.501 0.832 0.959
6 La 0.750 0.535 0.465
7 Tm 0.010 0.693 0.117
8 Tm 0.097 0.145 0.501
9 Tm 0.404 0.499 0.854
10 Tm 0.490 0.883 0.307
11 Tm 0.510 0.117 0.693
12 Tm 0.596 0.501 0.146
13 Tm 0.903 0.855 0.499
14 Tm 0.990 0.307 0.883
15 Sc 0.107 0.364 0.211
16 Sc 0.393 0.789 0.636
17 Sc 0.607 0.211 0.364
18 Sc 0.893 0.636 0.789

---

Entry from the Alexandria database: Mn2SiNi after structural relaxation (GGA-PBE).

uncorrected formation energy: -6.2 kcal/mol of atoms
magnetic moment: 4.518 Bohr magnetons per cell
SG: P4/mmm (123)
VASP energy: -7.655 eV/atom
calculated density: 7.07 g cm⁻³

Lattice parameters (Å, degrees): 3.579 3.579 3.607 90.00 90.00 90.00
Element x y z (fractional)
1 Mn 0.000 0.500 0.000
2 Mn 0.500 0.000 0.000
3 Si 0.000 0.000 0.500
4 Ni 0.500 0.500 0.500

---

Entry from the Alexandria database: SiSn4Br2 after structural relaxation (GGA-PBE).

uncorrected formation energy: 4.6 kcal/mol of atoms
magnetic moment: 0.000 Bohr magnetons per cell
SG: I4/mmm (139)
VASP energy: -3.340 eV/atom
calculated density: 4.35 g cm⁻³

Lattice parameters (Å, degrees): 9.110 9.110 9.110 144.54 144.54 51.02
Element x y z (fractional)
1 Si 0.000 0.000 0.000
2 Sn 0.000 0.500 0.500
3 Sn 0.156 0.156 0.000
4 Sn 0.500 0.000 0.500
5 Sn 0.844 0.844 0.000
6 Br 0.388 0.388 0.000
7 Br 0.612 0.612 0.000

---

Entry from the Alexandria database: Ga2Si2Pb after structural relaxation (GGA-PBE).

uncorrected formation energy: 6.2 kcal/mol of atoms
magnetic moment: 0.000 Bohr magnetons per cell
SG: I4/mmm (139)
VASP energy: -3.854 eV/atom
ΔE to the lowest computed polymorph: 86 meV per atom
calculated density: 6.48 g cm⁻³

Lattice parameters (Å, degrees): 6.119 6.119 6.119 137.55 137.55 61.59
Element x y z (fractional)
1 Ga 0.120 0.120 0.000
2 Ga 0.880 0.880 0.000
3 Si 0.250 0.750 0.500
4 Si 0.750 0.250 0.500
5 Pb 0.500 0.500 0.000